--- 1 ---
This record from the Alexandria database describes an optimized crystal structure of SnGe2Te2. The functional is PBE.

Lattice parameters (Å, degrees): 3.8841 3.8841 17.7316 90.00 90.00 90.00
Closest atoms and distances in Å follow each position.
Sites, in units of the cell vectors:
Sn 0.0000 0.0000 0.0000  8 Te 3.34
Sn 0.5000 0.5000 0.5000  8 Te 3.34
Ge 0.0000 0.5000 0.2500  4 Ge 2.75
Ge 0.0000 0.5000 0.7500  4 Ge 2.75
Ge 0.5000 0.0000 0.2500  4 Ge 2.75
Ge 0.5000 0.0000 0.7500  4 Ge 2.75
Te 0.0000 0.0000 0.3933  4 Ge 3.20, 4 Sn 3.34
Te 0.0000 0.0000 0.6067  4 Ge 3.20, 4 Sn 3.34
Te 0.5000 0.5000 0.1067  4 Ge 3.20, 4 Sn 3.34
Te 0.5000 0.5000 0.8933  4 Ge 3.20, 4 Sn 3.34

Values from the calculation:
SG: No. 139

---

--- 2 ---
This record from the Alexandria database describes an optimized crystal structure of SnGe2Te2. The functional is PBE.

Lattice parameters (Å, degrees): 8.1420 8.1420 4.0248 90.00 90.00 90.00
Closest atoms and distances in Å follow each position.
Sites, in units of the cell vectors:
Sn 0.0000 0.0000 0.0000  4 Ge 3.09
Sn 0.5000 0.5000 0.0000  4 Ge 3.09
Ge 0.1529 0.3471 0.0000  2 Te 2.83, 2 Sn 3.09
Ge 0.3471 0.8471 0.0000  2 Te 2.83, 2 Sn 3.09
Ge 0.6529 0.1529 0.0000  2 Te 2.83, 2 Sn 3.09
Ge 0.8471 0.6529 0.0000  2 Te 2.83, 2 Sn 3.09
Te 0.1738 0.6738 0.5000  2 Ge 2.83
Te 0.3262 0.1738 0.5000  2 Ge 2.83
Te 0.6738 0.8262 0.5000  2 Ge 2.83
Te 0.8262 0.3262 0.5000  2 Ge 2.83

Values from the calculation:
SG: No. 127

---

Here are the energies relative to the best structure, in meV per atom: 1 6; 2 0.

---

--- 1 ---
This record from the Alexandria database describes an optimized crystal structure of SnGe2Te. The functional is PBE.

Lattice parameters (Å, degrees): 7.2399 7.2399 7.2399 90.00 90.00 90.00
Closest atoms and distances in Å follow each position.
Sites, in units of the cell vectors:
Sn 0.0000 0.0000 0.0000  8 Ge 3.13
Sn 0.0000 0.5000 0.5000  8 Ge 3.13
Sn 0.5000 0.0000 0.5000  8 Ge 3.13
Sn 0.5000 0.5000 0.0000  8 Ge 3.13
Ge 0.2500 0.2500 0.2500  4 Sn 3.13, 4 Te 3.13
Ge 0.2500 0.2500 0.7500  4 Sn 3.13, 4 Te 3.13
Ge 0.2500 0.7500 0.2500  4 Sn 3.13, 4 Te 3.13
Ge 0.2500 0.7500 0.7500  4 Sn 3.13, 4 Te 3.13
Ge 0.7500 0.2500 0.2500  4 Sn 3.13, 4 Te 3.13
Ge 0.7500 0.2500 0.7500  4 Sn 3.13, 4 Te 3.13
Ge 0.7500 0.7500 0.2500  4 Sn 3.13, 4 Te 3.13
Ge 0.7500 0.7500 0.7500  4 Sn 3.13, 4 Te 3.13
Te 0.0000 0.0000 0.5000  8 Ge 3.13
Te 0.0000 0.5000 0.0000  8 Ge 3.13
Te 0.5000 0.0000 0.0000  8 Ge 3.13
Te 0.5000 0.5000 0.5000  8 Ge 3.13

Values from the calculation:
SG: No. 225

---

--- 2 ---
This record from the Alexandria database describes an optimized crystal structure of SnGe2Te. The functional is PBE.

Lattice parameters (Å, degrees): 6.1249 6.1249 14.1692 90.00 90.00 90.00
Closest atoms and distances in Å follow each position.
Sites, in units of the cell vectors:
Sn 0.0000 0.0000 0.0000  4 Ge 2.76
Sn 0.0000 0.5000 0.2500  4 Ge 2.76
Sn 0.5000 0.0000 0.7500  4 Ge 2.76
Sn 0.5000 0.5000 0.5000  4 Ge 2.76
Ge 0.2385 0.2500 0.1250  2 Sn 2.76, 2 Te 2.84
Ge 0.2500 0.7385 0.3750  2 Sn 2.76, 2 Te 2.84
Ge 0.2500 0.7615 0.8750  2 Sn 2.76, 2 Te 2.84
Ge 0.2615 0.2500 0.6250  2 Sn 2.76, 2 Te 2.84
Ge 0.7385 0.7500 0.6250  2 Sn 2.76, 2 Te 2.84
Ge 0.7500 0.2385 0.8750  2 Sn 2.76, 2 Te 2.84
Ge 0.7500 0.2615 0.3750  2 Sn 2.76, 2 Te 2.84
Ge 0.7615 0.7500 0.1250  2 Sn 2.76, 2 Te 2.84
Te 0.0000 0.0000 0.5000  4 Ge 2.84
Te 0.0000 0.5000 0.7500  4 Ge 2.84
Te 0.5000 0.0000 0.2500  4 Ge 2.84
Te 0.5000 0.5000 0.0000  4 Ge 2.84

Values from the calculation:
SG: No. 122

---

Here are the energies relative to the best structure, in meV per atom: 1 26; 2 0.

---

--- 1 ---
This record from the Alexandria database describes an optimized crystal structure of SnGe2Te4. The functional is PBE.

Lattice parameters (Å, degrees): 4.1037 7.2711 8.3286 64.46 75.79 89.93
Closest atoms and distances in Å follow each position.
Sites, in units of the cell vectors:
Sn 0.0000 0.0000 0.0000  6 Te 3.06-3.11
Ge 0.2507 0.2818 0.4995  6 Te 2.84-3.12
Ge 0.7493 0.7182 0.5005  6 Te 2.84-3.12
Te 0.1299 0.4697 0.7421  3 Ge 2.84-2.86, 1 Sn 3.11
Te 0.3680 0.0381 0.2640  3 Ge 3.05-3.12, 2 Sn 3.06
Te 0.6320 0.9619 0.7360  3 Ge 3.05-3.12, 2 Sn 3.06
Te 0.8701 0.5303 0.2579  3 Ge 2.84-2.86, 1 Sn 3.11

Values from the calculation:
SG: No. 2

---

--- 2 ---
This record from the Alexandria database describes an optimized crystal structure of SnGe2Te4. The functional is PBE.

Lattice parameters (Å, degrees): 7.4294 7.4294 13.5060 90.00 90.00 146.66
Closest atoms and distances in Å follow each position.
Sites, in units of the cell vectors:
Sn 0.0822 0.9178 0.7500  2 Te 3.01
Sn 0.9178 0.0822 0.2500  2 Te 3.01
Ge 0.3599 0.6401 0.5562  6 Te 2.82-3.02
Ge 0.3599 0.6401 0.9438  6 Te 2.82-3.02
Ge 0.6401 0.3599 0.0562  6 Te 2.82-3.02
Ge 0.6401 0.3599 0.4438  6 Te 2.82-3.02
Te 0.0000 0.0000 0.0000  4 Ge 3.02
Te 0.0000 0.0000 0.5000  4 Ge 3.02
Te 0.2671 0.7329 0.1327  3 Ge 2.87-2.98, 1 Te 3.17
Te 0.2671 0.7329 0.3673  3 Ge 2.87-2.98, 1 Te 3.17
Te 0.4329 0.5671 0.7500  2 Ge 2.82, 2 Sn 3.01
Te 0.5671 0.4329 0.2500  2 Ge 2.82, 2 Sn 3.01
Te 0.7329 0.2671 0.6327  3 Ge 2.87-2.98, 1 Te 3.17
Te 0.7329 0.2671 0.8673  3 Ge 2.87-2.98, 1 Te 3.17

Values from the calculation:
SG: No. 63

---

Here are the energies relative to the best structure, in meV per atom: 1 0; 2 42.

---

--- 1 ---
This record from the Alexandria database describes an optimized crystal structure of Sn2GeTe. The functional is PBE.

Lattice parameters (Å, degrees): 4.1395 4.1395 22.5396 90.00 90.00 120.00
Closest atoms and distances in Å follow each position.
Sites, in units of the cell vectors:
Sn 0.0000 0.0000 0.0000  3 Ge 2.84
Sn 0.0000 0.0000 0.1908  3 Ge 2.92, 3 Te 3.11
Sn 0.3333 0.6667 0.6667  3 Ge 2.84
Sn 0.3333 0.6667 0.8575  3 Ge 2.92, 3 Te 3.11
Sn 0.6667 0.3333 0.3333  3 Ge 2.84
Sn 0.6667 0.3333 0.5241  3 Ge 2.92, 3 Te 3.11
Ge 0.0000 0.0000 0.5989  6 Sn 2.84-2.92
Ge 0.3333 0.6667 0.2656  6 Sn 2.84-2.92
Ge 0.6667 0.3333 0.9323  6 Sn 2.84-2.92
Te 0.0000 0.0000 0.7695  6 Sn 3.11-3.33
Te 0.3333 0.6667 0.4361  6 Sn 3.11-3.33
Te 0.6667 0.3333 0.1028  6 Sn 3.11-3.33

Values from the calculation:
SG: No. 160

---

--- 2 ---
This record from the Alexandria database describes an optimized crystal structure of Sn2GeTe. The functional is PBE.

Lattice parameters (Å, degrees): 7.1195 7.1195 11.1595 90.00 90.00 90.00
Closest atoms and distances in Å follow each position.
Sites, in units of the cell vectors:
Sn 0.2131 0.2500 0.1250  2 Ge 2.72, 2 Te 3.05
Sn 0.2500 0.7131 0.3750  2 Ge 2.72, 2 Te 3.05
Sn 0.2500 0.7869 0.8750  2 Ge 2.72, 2 Te 3.05
Sn 0.2869 0.2500 0.6250  2 Ge 2.72, 2 Te 3.05
Sn 0.7131 0.7500 0.6250  2 Ge 2.72, 2 Te 3.05
Sn 0.7500 0.2131 0.8750  2 Ge 2.72, 2 Te 3.05
Sn 0.7500 0.2869 0.3750  2 Ge 2.72, 2 Te 3.05
Sn 0.7869 0.7500 0.1250  2 Ge 2.72, 2 Te 3.05
Ge 0.0000 0.0000 0.0000  4 Sn 2.72
Ge 0.0000 0.5000 0.2500  4 Sn 2.72
Ge 0.5000 0.0000 0.7500  4 Sn 2.72
Ge 0.5000 0.5000 0.5000  4 Sn 2.72
Te 0.0000 0.0000 0.5000  4 Sn 3.05
Te 0.0000 0.5000 0.7500  4 Sn 3.05
Te 0.5000 0.0000 0.2500  4 Sn 3.05
Te 0.5000 0.5000 0.0000  4 Sn 3.05

Values from the calculation:
SG: No. 122

---

Here are the energies relative to the best structure, in meV per atom: 1 0; 2 125.

---

--- 1 ---
This record from the Alexandria database describes an optimized crystal structure of TiSn2Ge2. The functional is PBE.

Lattice parameters (Å, degrees): 3.9893 3.9893 14.8963 90.00 90.00 90.00
Closest atoms and distances in Å follow each position.
Sites, in units of the cell vectors:
Ti 0.0000 0.0000 0.0000  8 Ge 3.07
Ti 0.5000 0.5000 0.5000  8 Ge 3.07
Sn 0.0000 0.5000 0.2500  4 Sn 2.82
Sn 0.0000 0.5000 0.7500  4 Sn 2.82
Sn 0.5000 0.0000 0.2500  4 Sn 2.82
Sn 0.5000 0.0000 0.7500  4 Sn 2.82
Ge 0.0000 0.0000 0.4179  1 Ge 2.45
Ge 0.0000 0.0000 0.5821  1 Ge 2.45
Ge 0.5000 0.5000 0.0821  1 Ge 2.45
Ge 0.5000 0.5000 0.9179  1 Ge 2.45

Values from the calculation:
SG: No. 139

---

--- 2 ---
This record from the Alexandria database describes an optimized crystal structure of TiSn2Ge2. The functional is PBE.

Lattice parameters (Å, degrees): 6.9962 6.9962 4.3605 90.00 90.00 90.00
Closest atoms and distances in Å follow each position.
Sites, in units of the cell vectors:
Ti 0.0000 0.0000 0.0000  4 Ge 2.70
Ti 0.5000 0.5000 0.0000  4 Ge 2.70
Sn 0.1689 0.3311 0.5000  6 Ge 2.88-3.08
Sn 0.3311 0.8311 0.5000  6 Ge 2.88-3.08
Sn 0.6689 0.1689 0.5000  6 Ge 2.88-3.08
Sn 0.8311 0.6689 0.5000  6 Ge 2.88-3.08
Ge 0.1404 0.6404 0.0000  2 Ti 2.70, 1 Ge 2.78, 2 Sn 2.88
Ge 0.3596 0.1404 0.0000  2 Ti 2.70, 1 Ge 2.78, 2 Sn 2.88
Ge 0.6404 0.8596 0.0000  2 Ti 2.70, 1 Ge 2.78, 2 Sn 2.88
Ge 0.8596 0.3596 0.0000  2 Ti 2.70, 1 Ge 2.78, 2 Sn 2.88

Values from the calculation:
SG: No. 127

---

Here are the energies relative to the best structure, in meV per atom: 1 331; 2 0.

---

--- 1 ---
This record from the Alexandria database describes an optimized crystal structure of TlSn2Ge. The functional is PBE.

Lattice parameters (Å, degrees): 6.6119 6.6119 12.5354 90.00 90.00 90.00
Closest atoms and distances in Å follow each position.
Sites, in units of the cell vectors:
Tl 0.0000 0.0000 0.0000  4 Sn 2.94
Tl 0.0000 0.5000 0.2500  4 Sn 2.94
Tl 0.5000 0.0000 0.7500  4 Sn 2.94
Tl 0.5000 0.5000 0.5000  4 Sn 2.94
Sn 0.2194 0.2500 0.6250  2 Ge 2.70, 2 Tl 2.94
Sn 0.2500 0.7194 0.8750  2 Ge 2.70, 2 Tl 2.94
Sn 0.2500 0.7806 0.3750  2 Ge 2.70, 2 Tl 2.94
Sn 0.2806 0.2500 0.1250  2 Ge 2.70, 2 Tl 2.94
Sn 0.7194 0.7500 0.1250  2 Ge 2.70, 2 Tl 2.94
Sn 0.7500 0.2194 0.3750  2 Ge 2.70, 2 Tl 2.94
Sn 0.7500 0.2806 0.8750  2 Ge 2.70, 2 Tl 2.94
Sn 0.7806 0.7500 0.6250  2 Ge 2.70, 2 Tl 2.94
Ge 0.0000 0.0000 0.5000  4 Sn 2.70
Ge 0.0000 0.5000 0.7500  4 Sn 2.70
Ge 0.5000 0.0000 0.2500  4 Sn 2.70
Ge 0.5000 0.5000 0.0000  4 Sn 2.70

Values from the calculation:
SG: No. 122

---

--- 2 ---
This record from the Alexandria database describes an optimized crystal structure of TlSn2Ge. The functional is PBE.

Lattice parameters (Å, degrees): 4.6604 4.6604 4.8902 90.00 90.00 90.00
Closest atoms and distances in Å follow each position.
Sites, in units of the cell vectors:
Tl 0.0000 0.0000 0.0000  4 Ge 3.30, 8 Sn 3.38
Sn 0.0000 0.5000 0.5000  4 Sn 3.30, 4 Ge 3.38, 4 Tl 3.38
Sn 0.5000 0.0000 0.5000  4 Sn 3.30, 4 Ge 3.38, 4 Tl 3.38
Ge 0.5000 0.5000 0.0000  4 Tl 3.30, 8 Sn 3.38

Values from the calculation:
SG: No. 123

---

--- 3 ---
This record from the Alexandria database describes an optimized crystal structure of TlSn2Ge. The functional is PBE.

Lattice parameters (Å, degrees): 3.9549 3.9549 24.8552 90.00 90.00 120.00
Closest atoms and distances in Å follow each position.
Sites, in units of the cell vectors:
Tl 0.0000 0.0000 0.0000  6 Sn 3.32-3.36
Tl 0.3333 0.6667 0.6667  6 Sn 3.32-3.36
Tl 0.6667 0.3333 0.3333  6 Sn 3.32-3.36
Sn 0.0000 0.0000 0.2341  3 Ge 2.86
Sn 0.0000 0.0000 0.4302  3 Ge 2.84
Sn 0.3333 0.6667 0.0969  3 Ge 2.84
Sn 0.3333 0.6667 0.9008  3 Ge 2.86
Sn 0.6667 0.3333 0.5675  3 Ge 2.86
Sn 0.6667 0.3333 0.7636  3 Ge 2.84
Ge 0.0000 0.0000 0.8313  6 Sn 2.84-2.86
Ge 0.3333 0.6667 0.4979  6 Sn 2.84-2.86
Ge 0.6667 0.3333 0.1646  6 Sn 2.84-2.86

Values from the calculation:
SG: No. 160

---

Here are the energies relative to the best structure, in meV per atom: 1 60; 2 55; 3 0.

---

--- 1 ---
This record from the Alexandria database describes an optimized crystal structure of TlSn2Ge. The functional is PBE.

Lattice parameters (Å, degrees): 4.0714 4.0714 23.4464 90.00 90.00 120.00
Closest atoms and distances in Å follow each position.
Sites, in units of the cell vectors:
Tl 0.0000 0.0000 0.0000  6 Sn 3.30
Tl 0.3333 0.6667 0.6667  6 Sn 3.30
Tl 0.6667 0.3333 0.3333  6 Sn 3.30
Sn 0.0000 0.0000 0.2346  3 Ge 2.84
Sn 0.0000 0.0000 0.7654  3 Ge 2.84
Sn 0.3333 0.6667 0.4320  3 Ge 2.84
Sn 0.3333 0.6667 0.9013  3 Ge 2.84
Sn 0.6667 0.3333 0.0987  3 Ge 2.84
Sn 0.6667 0.3333 0.5680  3 Ge 2.84
Ge 0.0000 0.0000 0.5000  6 Sn 2.84
Ge 0.3333 0.6667 0.1667  6 Sn 2.84
Ge 0.6667 0.3333 0.8333  6 Sn 2.84

Values from the calculation:
SG: No. 166

---

--- 2 ---
This record from the Alexandria database describes an optimized crystal structure of TlSn2Ge. The functional is PBE.

Lattice parameters (Å, degrees): 3.7558 3.7558 7.6197 90.00 90.00 90.00
Closest atoms and distances in Å follow each position.
Sites, in units of the cell vectors:
Tl 0.0000 0.0000 0.0000  8 Sn 3.49, 4 Tl 3.76, 2 Ge 3.81
Sn 0.5000 0.5000 0.2974  4 Ge 3.07, 1 Sn 3.09
Sn 0.5000 0.5000 0.7026  4 Ge 3.07, 1 Sn 3.09
Ge 0.0000 0.0000 0.5000  8 Sn 3.07

Values from the calculation:
SG: No. 123

---

Here are the energies relative to the best structure, in meV per atom: 1 18; 2 0.

---

--- 1 ---
This record from the Alexandria database describes an optimized crystal structure of Tl2Sn2Ge. The functional is PBE.

Lattice parameters (Å, degrees): 4.1526 4.1526 17.4300 90.00 90.00 90.00
Closest atoms and distances in Å follow each position.
Sites, in units of the cell vectors:
Tl 0.0000 0.0000 0.0921  1 Tl 3.21, 4 Ge 3.35, 4 Sn 3.45
Tl 0.0000 0.0000 0.9079  1 Tl 3.21, 4 Ge 3.35, 4 Sn 3.45
Tl 0.5000 0.5000 0.4079  1 Tl 3.21, 4 Ge 3.35, 4 Sn 3.45
Tl 0.5000 0.5000 0.5921  1 Tl 3.21, 4 Ge 3.35, 4 Sn 3.45
Sn 0.0000 0.5000 0.2500  4 Sn 2.94
Sn 0.0000 0.5000 0.7500  4 Sn 2.94
Sn 0.5000 0.0000 0.2500  4 Sn 2.94
Sn 0.5000 0.0000 0.7500  4 Sn 2.94
Ge 0.0000 0.0000 0.5000  8 Tl 3.35
Ge 0.5000 0.5000 0.0000  8 Tl 3.35

Values from the calculation:
SG: No. 139

---

--- 2 ---
This record from the Alexandria database describes an optimized crystal structure of Tl2Sn2Ge. The functional is PBE.

Lattice parameters (Å, degrees): 7.4566 7.4566 5.3452 90.00 90.00 90.00
Closest atoms and distances in Å follow each position.
Sites, in units of the cell vectors:
Tl 0.1724 0.3276 0.0000  6 Sn 3.31-3.57, 1 Tl 3.64
Tl 0.3276 0.8276 0.0000  6 Sn 3.31-3.57, 1 Tl 3.64
Tl 0.6724 0.1724 0.0000  6 Sn 3.31-3.57, 1 Tl 3.64
Tl 0.8276 0.6724 0.0000  6 Sn 3.31-3.57, 1 Tl 3.64
Sn 0.1429 0.6429 0.5000  2 Ge 2.87, 1 Sn 3.01
Sn 0.3571 0.1429 0.5000  2 Ge 2.87, 1 Sn 3.01
Sn 0.6429 0.8571 0.5000  2 Ge 2.87, 1 Sn 3.01
Sn 0.8571 0.3571 0.5000  2 Ge 2.87, 1 Sn 3.01
Ge 0.0000 0.0000 0.5000  4 Sn 2.87
Ge 0.5000 0.5000 0.5000  4 Sn 2.87

Values from the calculation:
SG: No. 127

---

--- 3 ---
This record from the Alexandria database describes an optimized crystal structure of Tl2Sn2Ge. The functional is PBE.

Lattice parameters (Å, degrees): 8.6520 8.6520 3.8292 90.00 90.00 90.00
Closest atoms and distances in Å follow each position.
Sites, in units of the cell vectors:
Tl 0.1656 0.3344 0.0000  6 Sn 3.11-3.24, 2 Ge 3.23
Tl 0.3344 0.8344 0.0000  6 Sn 3.11-3.24, 2 Ge 3.23
Tl 0.6656 0.1656 0.0000  6 Sn 3.11-3.24, 2 Ge 3.23
Tl 0.8344 0.6656 0.0000  6 Sn 3.11-3.24, 2 Ge 3.23
Sn 0.1343 0.6343 0.5000  6 Tl 3.11-3.24, 1 Sn 3.29
Sn 0.3657 0.1343 0.5000  6 Tl 3.11-3.24, 1 Sn 3.29
Sn 0.6343 0.8657 0.5000  6 Tl 3.11-3.24, 1 Sn 3.29
Sn 0.8657 0.3657 0.5000  6 Tl 3.11-3.24, 1 Sn 3.29
Ge 0.0000 0.0000 0.0000  4 Tl 3.23
Ge 0.5000 0.5000 0.0000  4 Tl 3.23

Values from the calculation:
SG: No. 127

---

Here are the energies relative to the best structure, in meV per atom: 1 181; 2 0; 3 210.